# 1
Compound: BaAcTe2O6
Source: Alexandria
Functional: PBE
Structure: optimized geometry

Geometry as POSCAR:
```
BaAcTe2O6
1.0
3.1753 1.8332 5.8543
-3.1753 1.8332 5.8543
0.0000 -3.6665 5.8543
Ba Ac Te O
1 1 2 6
direct
0.0000 0.0000 0.0000
0.5000 0.5000 0.5000
0.2804 0.2804 0.2804
0.7196 0.7196 0.7196
0.0630 0.4666 0.7277
0.2723 0.9370 0.5334
0.4666 0.7277 0.0630
0.5334 0.2723 0.9370
0.7277 0.0630 0.4666
0.9370 0.5334 0.2723
```

## Properties
As for the space group: R-3 (148). The value obtained for the uncorrected formation energy is -1.825 eV/atom. The density comes out at 5.811 g/cm³.


# 2
Compound: CsAlPb
Source: Alexandria
Functional: PBE
Structure: optimized geometry

Geometry as POSCAR:
```
CsAlPb
1.0
3.8756 -2.6947 0.0000
3.8756 2.6947 0.0000
-3.5768 0.0000 12.8609
Cs Al Pb
2 2 2
direct
0.2200 0.2200 0.3155
0.7800 0.7800 0.6845
0.1576 0.1576 0.9641
0.8424 0.8424 0.0359
0.5003 0.5003 0.1190
0.4997 0.4997 0.8810
```

## Properties
As for the space group: C2/m (12). The density comes out at 4.538 g/cm³. The formation energy comes out at 1.01 kcal/mol of atoms.


# 3
Compound: Sr2ZrIr
Source: Alexandria
Functional: PBE
Structure: optimized geometry

Geometry as POSCAR:
```
Sr2ZrIr
1.0
-1.7754 2.0566 9.1631
1.7754 -2.0566 9.1631
1.7754 2.0566 -9.1631
Sr Zr Ir
2 1 1
direct
0.1526 0.1526 0.0000
0.8474 0.8474 0.0000
0.5000 0.0000 0.5000
0.0000 0.5000 0.5000
```

## Properties
As for the space group: Immm (71). Its energy above the most stable polymorph in this dataset is 0.38 eV per formula unit. The density comes out at 5.691 g/cm³. The formation energy comes out at -2.36 kcal/mol of atoms.


# 4
Compound: CuAu2Se
Source: Alexandria
Functional: PBE
Structure: optimized geometry

Geometry as POSCAR:
```
CuAu2Se
1.0
-1.9710 1.9710 9.5357
1.9710 -1.9710 9.5357
1.9710 1.9710 -9.5357
Cu Au Se
2 4 2
direct
0.0000 0.0000 0.0000
0.7500 0.2500 0.5000
0.1209 0.6250 0.9959
0.3750 0.3709 0.4959
0.6291 0.1250 0.0041
0.8750 0.8791 0.5041
0.2500 0.7500 0.5000
0.5000 0.5000 0.0000
```

## Properties
As for the space group: I-42d (122). The value obtained for the uncorrected formation energy is 0.162 eV/atom. The density comes out at 12.023 g/cm³.


# 5
Compound: EuInGaAu
Source: Alexandria
Functional: PBE
Structure: optimized geometry

Geometry as POSCAR:
```
EuInGaAu
1.0
0.0000 3.5750 3.5750
3.5750 0.0000 3.5750
3.5750 3.5750 0.0000
Eu In Ga Au
1 1 1 1
direct
0.0000 0.0000 0.0000
0.5000 0.5000 0.5000
0.2500 0.2500 0.2500
0.7500 0.7500 0.7500
```

## Properties
As for the space group: F-43m (216). The density comes out at 9.694 g/cm³. The formation energy comes out at -11.33 kcal/mol of atoms.


# 6
Compound: PuSbPd2
Source: Alexandria
Functional: PBE
Structure: optimized geometry

Geometry as POSCAR:
```
PuSbPd2
1.0
4.5505 0.0000 0.0000
0.0000 4.5505 0.0000
0.0000 0.0000 4.0014
Pu Sb Pd
1 1 2
direct
0.0000 0.0000 0.0000
0.5000 0.5000 0.0000
0.0000 0.5000 0.5000
0.5000 0.0000 0.5000
```

## Properties
As for the space group: P4/mmm (123). Its energy above the most stable polymorph in this dataset is 0.60 eV per formula unit. The value obtained for the uncorrected formation energy is -0.423 eV/atom. The density comes out at 11.596 g/cm³.


# 7
Compound: Tl5Ag4Se4
Source: Alexandria
Functional: PBE
Structure: optimized geometry

Geometry as POSCAR:
```
Tl5Ag4Se4
1.0
-6.2184 6.2184 2.2138
6.2184 -6.2184 2.2138
6.2184 6.2184 -2.2138
Tl Ag Se
5 4 4
direct
0.0000 0.0000 0.0000
0.3004 0.6219 0.9223
0.3781 0.3004 0.6785
0.6219 0.6996 0.3215
0.6996 0.3781 0.0777
0.0960 0.4240 0.5200
0.4240 0.9040 0.3279
0.5760 0.0960 0.6721
0.9040 0.5760 0.4800
0.0629 0.7254 0.7882
0.2746 0.0629 0.3375
0.7254 0.9371 0.6625
0.9371 0.2746 0.2118
```

## Properties
As for the space group: I4/m (87). The value obtained for the uncorrected formation energy is -0.228 eV/atom. The density comes out at 8.580 g/cm³.


# 8
Compound: MgZr4In5
Source: Alexandria
Functional: PBE
Structure: optimized geometry

Geometry as POSCAR:
```
MgZr4In5
1.0
3.1594 0.0000 0.0000
0.0000 3.1594 0.0000
0.0000 0.0000 22.3588
Mg Zr In
1 4 5
direct
0.0000 0.0000 0.0000
0.0000 0.0000 0.2033
0.0000 0.0000 0.4000
0.0000 0.0000 0.6000
0.0000 0.0000 0.7967
0.5000 0.5000 0.1014
0.5000 0.5000 0.3018
0.5000 0.5000 0.5000
0.5000 0.5000 0.6982
0.5000 0.5000 0.8986
```

## Properties
As for the space group: P4/mmm (123). The density comes out at 7.167 g/cm³. The formation energy comes out at -5.78 kcal/mol of atoms.


Q: Which density of states at the Fermi level values were calculated for the entries above? A: 0.340, 0.410, 1.136, 0.486, 1.233, 3.789, 0.128, 0.788, in states/eV per atom.
Q: Which magnetization values were calculated for the entries above? A: 0.61, 0.00, 0.43, 0.00, 6.92, 5.38, 0.00, 0.00, in μB per cell.